Arrangement P

SrBiAs3 GGA-PBE relaxed; crystal system = cubic; space-group type = Pm-3m; Fermi-level density of states = 1.545 states/eV per atom
1.0
5.545 0.000 0.000
0.000 5.545 0.000
0.000 0.000 5.545
As Sr Bi
3 1 1
Cartesian
2.773 0.000 0.000
0.000 0.000 2.773
0.000 2.773 0.000
0.000 0.000 0.000
2.773 2.773 2.773

Arrangement Q

SrBiAs3 GGA-PBE relaxed; crystal system = cubic; space-group type = Pm-3m; Fermi-level density of states = 1.859 states/eV per atom
1.0
5.478 0.000 0.000
0.000 5.478 0.000
0.000 0.000 5.478
As Bi Sr
3 1 1
Cartesian
0.000 0.000 2.739
2.739 0.000 0.000
0.000 2.739 0.000
0.000 0.000 0.000
2.739 2.739 2.739

Q: Which of them is the least stable? A: arrangement P.

Arrangement P

TaBi3As GGA-PBE relaxed; crystal system = cubic; space-group type = Pm-3m; Fermi-level density of states = 0.703 states/eV per atom
1.0
-1.450 1.006 5.183
3.393 -3.940 1.714
4.045 3.666 0.420
Bi Ta As
3 1 1
Cartesian
2.022 1.833 0.210
-0.725 0.503 2.591
1.696 -1.970 0.857
0.000 0.000 0.000
2.994 0.366 3.658

Arrangement Q

TaBi3As GGA-PBE relaxed; crystal system = cubic; space-group type = Pm-3m; Fermi-level density of states = 1.665 states/eV per atom
1.0
5.421 0.000 0.000
0.000 5.421 0.000
0.000 0.000 5.421
Ta As Bi
1 1 3
Cartesian
2.711 2.711 2.711
0.000 0.000 0.000
2.711 0.000 0.000
0.000 0.000 2.711
0.000 2.711 0.000

Q: Which of them is the least stable? A: arrangement Q.

Arrangement P

TcBi3As GGA-PBE relaxed; crystal system = cubic; space-group type = Pm-3m; Fermi-level density of states = 0.636 states/eV per atom
1.0
-5.168 -0.264 -1.821
-0.707 -4.727 2.692
-1.699 2.771 4.420
Bi Tc As
3 1 1
Cartesian
-0.849 1.385 2.210
-2.584 -0.132 -0.910
-0.353 -2.364 1.346
-3.787 -1.110 2.645
0.000 0.000 0.000

Arrangement Q

TcBi3As GGA-PBE relaxed; crystal system = cubic; space-group type = Pm-3m; Fermi-level density of states = 0.519 states/eV per atom
1.0
-1.226 -4.117 -3.046
5.062 -1.450 -0.078
-0.778 -2.946 4.295
As Bi Tc
1 3 1
Cartesian
1.529 -4.257 0.585
2.531 -0.725 -0.039
-0.389 -1.473 2.147
-0.613 -2.058 -1.523
0.000 0.000 0.000

Q: Which of them is the least stable? A: arrangement P.

Arrangement P

BiTe3As GGA-PBE relaxed; crystal system = monoclinic; space-group type = P2_1/m; Fermi-level density of states = 0.172 states/eV per atom
1.0
-5.279 0.611 -1.241
-1.705 -2.538 6.004
1.905 11.401 -2.492
As Te Bi
2 6 2
Cartesian
-0.487 6.662 -0.650
-4.592 2.812 2.922
-1.135 6.139 1.852
0.106 10.682 -1.194
-2.997 7.551 -1.532
-3.944 3.334 0.420
-2.082 1.923 3.804
-5.185 -1.208 3.465
-3.922 7.691 2.473
-1.157 1.782 -0.202

Arrangement Q

BiTe3As GGA-PBE relaxed; crystal system = cubic; space-group type = Pm-3m; Fermi-level density of states = 1.473 states/eV per atom
1.0
5.427 0.000 0.000
0.000 5.427 0.000
0.000 0.000 5.427
Te Bi As
3 1 1
Cartesian
2.713 0.000 0.000
0.000 2.713 0.000
0.000 0.000 2.713
2.713 2.713 2.713
0.000 0.000 0.000

Arrangement R

BiTe3As GGA-PBE relaxed; crystal system = cubic; space-group type = Pm-3m; Fermi-level density of states = 1.320 states/eV per atom
1.0
5.914 0.000 0.000
0.000 5.914 0.000
0.000 0.000 5.914
Te As Bi
3 1 1
Cartesian
0.000 2.957 0.000
0.000 0.000 2.957
2.957 0.000 0.000
2.957 2.957 2.957
0.000 0.000 0.000

Arrangement S

BiTe3As GGA-PBE relaxed; crystal system = monoclinic; space-group type = P2_1/m
1.0
-2.970 -1.097 -2.812
5.191 -2.415 -4.539
-2.206 -9.369 5.985
As Bi Te
2 2 6
Cartesian
-3.023 -10.815 2.630
3.039 -2.067 -3.996
-2.941 -7.236 1.147
2.957 -5.645 -2.513
2.405 -4.545 -5.549
1.330 -2.764 -1.920
-2.390 -8.337 4.182
-1.314 -10.118 0.553
-0.437 -5.452 0.995
0.453 -7.429 -2.362

Q: Which of them is the least stable? A: arrangement R.

Arrangement P

Bi2TeAs2 GGA-PBE relaxed; crystal system = tetragonal; space-group type = P4/mbm; Fermi-level density of states = 0.640 states/eV per atom
1.0
-2.642 -3.474 -7.451
8.067 0.416 -3.054
0.667 -3.319 1.311
As Te Bi
4 2 4
Cartesian
0.488 -2.860 -2.465
0.978 -4.504 -6.876
5.604 -3.516 -6.730
5.114 -1.872 -2.319
2.712 -1.529 -5.253
0.000 0.000 0.000
5.903 -0.845 -5.147
-0.478 -2.212 -5.358
3.056 -2.661 -8.295
2.369 -0.396 -2.210

Arrangement Q

Bi2TeAs2 GGA-PBE relaxed; crystal system = tetragonal; space-group type = P4/mbm; Fermi-level density of states = 0.585 states/eV per atom
1.0
-6.119 -3.919 -3.859
3.358 -7.234 2.021
-2.095 -0.035 3.356
Bi As Te
4 4 2
Cartesian
-2.220 -8.696 0.857
-2.635 -2.491 0.661
-5.058 -5.821 -0.885
0.203 -5.366 2.403
-3.491 -3.703 -2.217
-2.958 -8.054 -1.929
0.730 -7.449 0.379
0.197 -3.098 0.091
0.000 0.000 0.000
-1.380 -5.576 -0.919

Q: Which of them is the least stable? A: arrangement P.

Arrangement P

BiTeAs2 GGA-PBE relaxed; crystal system = cubic; space-group type = Fm-3m; Fermi-level density of states = 0.586 states/eV per atom
1.0
0.000 3.644 3.644
3.644 0.000 3.644
3.644 3.644 0.000
As Bi Te
2 1 1
Cartesian
1.822 1.822 1.822
5.466 5.466 5.466
3.644 3.644 3.644
0.000 0.000 0.000

Arrangement Q

BiTeAs2 GGA-PBE relaxed; crystal system = tetragonal; space-group type = I-42d; Fermi-level density of states = 0.460 states/eV per atom
1.0
-4.826 -2.880 1.305
0.636 -3.216 -4.748
2.223 -8.383 2.471
Te As Bi
2 4 2
Cartesian
-2.095 -3.048 -1.721
0.382 -7.324 -1.999
0.106 -8.626 0.486
-2.303 -4.252 0.819
-2.009 -11.570 -1.082
0.272 -4.513 -2.165
0.000 0.000 0.000
-2.349 -7.156 1.028

Q: Which of them is the least stable? A: arrangement P.